This record from the Alexandria database describes a relaxed CaSmZnGa crystal. The functional is PBE.

a = 5.1706 Å, b = 5.1706 Å, c = 5.1706 Å
α = 60.00°, β = 60.00°, γ = 60.00°
Atoms (fractional coordinates):
1 Sm 0.0000 0.0000 0.0000
2 Ca 0.5000 0.5000 0.5000
3 Zn 0.7500 0.7500 0.7500
4 Ga 0.2500 0.2500 0.2500

## Properties
magnetization: 0.00 Bohr magnetons per cell
DFT total energy: -12.719 eV per cell
DFT formation energy: -0.42 eV per atom